Here is crystalline La4Mg2Zn at its relaxed geometry from the Alexandria database. Energies are from PBE-GGA.

Formation energy from the elements = 24 meV/atom

Lattice parameters (Å, degrees): 5.4750 5.4750 26.4983 90.00 90.00 120.00
Closest atoms and distances in Å follow each position.
Space group R-3m (No. 166, hexagonal axes)
Inequivalent atoms, fractional coordinates:
La (0.0000, 0.0000, 0.1228) [6 per cell]  4 Mg 3.30-3.31, 3 Zn 3.37
La (0.0000, 0.0000, 0.3745) [6 per cell]  1 Zn 3.33, 4 Mg 3.37-3.38
Mg (0.0000, 0.0000, 0.2474) [6 per cell]  8 La 3.30-3.38
Zn (0.0000, 0.0000, 0.5000) [3 per cell]  8 La 3.33-3.37

Here is crystalline Mo2PbC at its relaxed geometry from the Alexandria database. Energies are from PBE-GGA.

Offset from the most stable computed form = 702 meV/atom
Formation energy from the elements = 1662 meV/atom

Lattice parameters (Å, degrees): 6.2844 6.2844 6.2844 90.00 90.00 90.00
Closest atoms and distances in Å follow each position.
Space group Fm-3m (No. 225)
Inequivalent atoms, fractional coordinates:
Mo (0.2500, 0.2500, 0.2500) [8 per cell]  4 Pb 2.72, 4 C 2.72
Pb (0.0000, 0.0000, 0.0000) [4 per cell]  8 Mo 2.72
C (0.0000, 0.0000, 0.5000) [4 per cell]  8 Mo 2.72

Here is crystalline Li4Hf3NpS8 at its relaxed geometry from the Alexandria database. Energies are from PBE-GGA.

Energy relative to the elements, uncorrected = -23.3 eV per formula unit

Lattice parameters (Å, degrees): 7.3143 7.3143 18.7262 90.00 90.00 120.00
Closest atoms and distances in Å follow each position.
Space group R-3m (No. 166, hexagonal axes)
Inequivalent atoms, fractional coordinates:
Li (0.0000, 0.0000, 0.0000) [3 per cell]  6 S 2.55
Li (0.0000, 0.5000, 0.0000) [9 per cell]  6 S 2.65-2.66
Hf (0.0000, 0.5000, 0.5000) [9 per cell]  6 S 2.59-2.60
Np (0.0000, 0.0000, 0.5000) [3 per cell]  6 S 2.70
S (0.0000, 0.0000, 0.2480) [6 per cell]  3 Hf 2.60, 3 Li 2.65
S (0.0145, 0.5072, 0.7497) [18 per cell]  3 Li 2.55-2.66, 2 Hf 2.59, 1 Np 2.70

Here is crystalline Tl2PtC2O6 at its relaxed geometry from the Alexandria database. Energies are from PBE-GGA.

Energy relative to the elements, uncorrected = -11.1 eV per formula unit

Lattice parameters (Å, degrees): 11.9003 5.1429 6.3758 90.00 114.56 90.00
Closest atoms and distances in Å follow each position.
Space group C2/m (No. 12)
Inequivalent atoms, fractional coordinates:
Tl (0.1885, 0.0000, 0.2247) [4 per cell]  7 O 2.90-3.14
Pt (0.0000, 0.0000, 0.5000) [2 per cell]  4 O 2.05
C (0.0081, 0.5000, 0.7238) [4 per cell]  3 O 1.26-1.33
O (0.0741, 0.2841, 0.7458) [8 per cell]  1 C 1.33
O (0.1036, 0.5000, 0.3097) [4 per cell]  1 C 1.26

Here is crystalline BaCr3 at its relaxed geometry from the Alexandria database. Energies are from PBE-GGA.

Offset from the most stable computed form = 99 meV/atom
Formation energy from the elements = 844 meV/atom

Lattice parameters (Å, degrees): 8.1114 7.3950 6.4286 90.00 90.00 90.00
Closest atoms and distances in Å follow each position.
Space group Pnma (No. 62)
Inequivalent atoms, fractional coordinates:
Ba (0.0344, 0.2500, 0.1189) [4 per cell]  11 Cr 3.29-3.65
Cr (0.1162, 0.7500, 0.3595) [4 per cell]  6 Cr 2.63-2.88
Cr (0.1555, 0.0591, 0.5958) [8 per cell]  5 Cr 2.63-2.94

Here is crystalline SmGd2Nb at its relaxed geometry from the Alexandria database. Energies are from PBE-GGA.

Formation energy from the elements = 553 meV/atom

Lattice parameters (Å, degrees): 3.3289 3.3289 35.1846 90.00 90.00 120.00
Closest atoms and distances in Å follow each position.
Space group R-3m (No. 166, hexagonal axes)
Inequivalent atoms, fractional coordinates:
Sm (0.0000, 0.0000, 0.0000) [3 per cell]  6 Sm 3.33, 6 Gd 3.56
Gd (0.0000, 0.0000, 0.4185) [6 per cell]  1 Nb 2.87
Nb (0.0000, 0.0000, 0.5000) [3 per cell]  2 Gd 2.87

Here is crystalline KSrTa at its relaxed geometry from the Alexandria database. Energies are from PBE-GGA.

Offset from the most stable computed form = 1254 meV/atom
Formation energy from the elements = 1654 meV/atom

Lattice parameters (Å, degrees): 5.9051 10.2137 7.6741 90.00 90.00 90.00
Closest atoms and distances in Å follow each position.
Space group Cmcm (No. 63)
Inequivalent atoms, fractional coordinates:
K (0.0000, 0.1664, 0.2500) [4 per cell]  3 Ta 3.41
Sr (0.0000, 0.5000, 0.0000) [4 per cell]  2 Sr 3.84, 6 Ta 3.90-3.91, 6 K 3.91
Ta (0.0000, 0.1671, 0.7500) [4 per cell]  3 K 3.41

Here is crystalline ZrTaTc2 at its relaxed geometry from the Alexandria database. Energies are from PBE-GGA.

Formation energy from the elements = -17 meV/atom

Lattice parameters (Å, degrees): 3.1102 3.1102 25.0671 90.00 90.00 120.00
Closest atoms and distances in Å follow each position.
Space group R-3m (No. 166, hexagonal axes)
Inequivalent atoms, fractional coordinates:
Zr (0.0000, 0.0000, 0.0000) [3 per cell]  6 Tc 2.82, 6 Zr 3.11
Ta (0.0000, 0.0000, 0.5000) [3 per cell]  6 Tc 2.69
Tc (0.0000, 0.0000, 0.2467) [6 per cell]  3 Ta 2.69, 3 Zr 2.82

Here is crystalline Na4Np3AlSe8 at its relaxed geometry from the Alexandria database. Energies are from PBE-GGA.

Energy relative to the elements, uncorrected = -17.7 eV per formula unit

Lattice parameters (Å, degrees): 8.2798 8.2798 20.7555 90.00 90.00 120.00
Closest atoms and distances in Å follow each position.
Space group R-3m (No. 166, hexagonal axes)
Inequivalent atoms, fractional coordinates:
Na (0.0000, 0.0000, 0.0000) [3 per cell]  6 Se 3.20
Na (0.0000, 0.5000, 0.0000) [9 per cell]  6 Se 3.02
Np (0.0000, 0.5000, 0.5000) [9 per cell]  6 Se 2.88-2.90
Al (0.0000, 0.0000, 0.5000) [3 per cell]  6 Se 2.70
Se (0.0000, 0.0000, 0.2442) [6 per cell]  3 Np 2.88, 3 Na 3.02
Se (0.0218, 0.5109, 0.2397) [18 per cell]  1 Al 2.70, 2 Np 2.90, 2 Na 3.02

Here is crystalline Be2H at its relaxed geometry from the Alexandria database. Energies are from PBE-GGA.

Offset from the most stable computed form = 106 meV/atom

Lattice parameters (Å, degrees): 2.3159 3.6389 5.6420 108.03 90.02 90.02
Closest atoms and distances in Å follow each position.
Space group P1 (No. 1)
Inequivalent atoms, fractional coordinates:
Be (0.0000, 0.0000, 0.0000) [1 per cell]  2 H 1.54
Be (0.9996, 0.3849, 0.7841) [1 per cell]  10 Be 2.12-2.33
Be (0.4995, 0.8279, 0.6401) [1 per cell]  1 H 1.41
Be (0.5000, 0.5976, 0.1368) [1 per cell]  2 H 1.43-1.53
H (0.4973, 0.5942, 0.3888) [1 per cell]  2 Be 1.41-1.43
H (0.5006, 0.0359, 0.1848) [1 per cell]  3 Be 1.53-1.54

Here is crystalline LiEuTl at its relaxed geometry from the Alexandria database. Energies are from PBE-GGA.

Offset from the most stable computed form = 0 meV/atom
Formation energy from the elements = -273 meV/atom

Lattice parameters (Å, degrees): 5.0693 5.0693 3.7490 90.00 90.00 120.00
Closest atoms and distances in Å follow each position.
Space group P-6m2 (No. 187)
Inequivalent atoms, fractional coordinates:
Li (0.0000, 0.0000, 0.0000) [1 per cell]  3 Tl 2.93
Eu (0.6667, 0.3333, 0.5000) [1 per cell]  6 Li 3.48, 6 Tl 3.48, 2 Eu 3.75
Tl (0.3333, 0.6667, 0.0000) [1 per cell]  3 Li 2.93

Here is crystalline Sr2DyF8 at its relaxed geometry from the Alexandria database. Energies are from PBE-GGA.

Energy relative to the elements, uncorrected = -39.7 eV per formula unit

Lattice parameters (Å, degrees): 14.3761 4.0503 5.7592 90.00 111.58 90.00
Closest atoms and distances in Å follow each position.
Space group C2/m (No. 12)
Inequivalent atoms, fractional coordinates:
Sr (0.1699, 0.0000, 0.1842) [4 per cell]  9 F 2.51-2.65
Dy (0.0000, 0.5000, 0.5000) [2 per cell]  8 F 2.27-2.38
F (0.0183, 0.0000, 0.3050) [4 per cell]  2 Dy 2.38, 3 F 2.49-2.62, 1 Sr 2.52
F (0.0963, 0.5000, 0.9121) [4 per cell]  1 Dy 2.27, 1 F 2.49
F (0.1521, 0.5000, 0.4628) [4 per cell]  1 Dy 2.27
F (0.2233, 0.0000, 0.8150) [4 per cell]  3 F 2.49-2.78, 3 Sr 2.51-2.54